Computed, not measured: a relaxed ZrUTi crystal at the PBE level of DFT.

Calculated total energy in eV/atom: -8.648
Crystal system: trigonal
Formation energy from the elements in eV per atom: 0.596
Space group: R-3m (166)

abc: 7.154 7.154 7.154
angles: 40.41 40.41 40.41
Atoms (fractional coordinates):
Zr 0.073 0.073 0.073
Zr 0.927 0.927 0.927
U 0.339 0.339 0.339
U 0.661 0.661 0.661
Ti 0.217 0.217 0.217
Ti 0.783 0.783 0.783

Computed, not measured: a relaxed MgOs2Pt crystal at the PBE level of DFT.

Calculated total energy in eV/atom: -7.316
Crystal system: orthorhombic
Formation energy from the elements in eV per atom: 0.207
Space group: Cmmm (65)

abc: 4.939 4.939 2.712
angles: 90.00 90.00 114.40
Atoms (fractional coordinates):
Mg 0.000 0.000 0.000
Os 0.000 0.500 0.500
Os 0.500 0.000 0.500
Pt 0.500 0.500 0.000

Computed, not measured: a relaxed PaMn17Os crystal at the PBE level of DFT.

Calculated total energy in eV/atom: -9.180
Crystal system: trigonal
Formation energy from the elements in eV per atom: 0.116
Space group: R3m (160)

abc: 6.175 6.175 6.175
angles: 82.00 82.00 82.00
Atoms (fractional coordinates):
Pa 0.000 0.000 0.000
Mn 0.052 0.367 0.646
Mn 0.052 0.646 0.367
Mn 0.222 0.698 0.698
Mn 0.255 0.255 0.255
Mn 0.348 0.348 0.852
Mn 0.348 0.852 0.348
Mn 0.367 0.052 0.646
Mn 0.367 0.646 0.052
Mn 0.443 0.443 0.443
Mn 0.513 0.998 0.998
Mn 0.646 0.052 0.367
Mn 0.646 0.367 0.052
Mn 0.698 0.222 0.698
Mn 0.698 0.698 0.222
Mn 0.852 0.348 0.348
Mn 0.998 0.513 0.998
Mn 0.998 0.998 0.513
Os 0.682 0.682 0.682

Computed, not measured: a relaxed LaCo4P12 crystal at the PBE level of DFT.

Calculated total energy in eV/atom: -6.344
Crystal system: cubic
Formation energy from the elements in eV per atom: -0.563
Space group: Im-3 (204)

abc: 6.776 6.776 6.776
angles: 109.47 109.47 109.47
Atoms (fractional coordinates):
La 0.000 0.000 0.000
Co 0.000 0.000 0.500
Co 0.000 0.500 0.000
Co 0.500 0.000 0.000
Co 0.500 0.500 0.500
P 0.150 0.356 0.506
P 0.150 0.644 0.795
P 0.205 0.850 0.356
P 0.356 0.205 0.850
P 0.356 0.506 0.150
P 0.494 0.850 0.644
P 0.506 0.150 0.356
P 0.644 0.494 0.850
P 0.644 0.795 0.150
P 0.795 0.150 0.644
P 0.850 0.356 0.205
P 0.850 0.644 0.494

Computed, not measured: a relaxed Ca2LaCl crystal at the PBE level of DFT.

Calculated total energy in eV/atom: -3.291
Crystal system: tetragonal
Energy relative to the elements, uncorrected in eV per atom: -0.5965
Space group: P4mm (99)
Energy above the most stable polymorph in this dataset in kJ/mol of atoms: 20.61

abc: 3.612 3.612 10.154
angles: 90.00 90.00 90.00
Atoms (fractional coordinates):
Ca 0.000 0.000 0.000
Ca 0.500 0.500 0.291
La 0.500 0.500 0.700
Cl 0.000 0.000 0.501

Computed, not measured: a relaxed ScW3S crystal at the PBE level of DFT.

Calculated total energy in eV/atom: -7.100
Crystal system: cubic
Energy relative to the elements, uncorrected in eV per atom: 2.7633
Space group: Pm-3m (221)
Energy above the most stable polymorph in this dataset in kJ/mol of atoms: 214.30

abc: 4.683 4.683 4.683
angles: 90.00 90.00 90.00
Atoms (fractional coordinates):
Sc 0.000 0.000 0.000
W 0.000 0.000 0.500
W 0.000 0.500 0.000
W 0.500 0.000 0.000
S 0.500 0.500 0.500

Computed, not measured: a relaxed Tm4MgPdRu2 crystal at the PBE level of DFT.

Calculated total energy in eV/atom: -5.917
Crystal system: trigonal
Formation energy from the elements in eV per atom: -0.514
Space group: R-3m (166)

abc: 8.468 8.468 8.468
angles: 33.41 33.41 33.41
Atoms (fractional coordinates):
Tm 0.121 0.121 0.121
Tm 0.372 0.372 0.372
Tm 0.628 0.628 0.628
Tm 0.879 0.879 0.879
Mg 0.500 0.500 0.500
Pd 0.000 0.000 0.000
Ru 0.248 0.248 0.248
Ru 0.752 0.752 0.752

Computed, not measured: a relaxed Ce2NbC3 crystal at the PBE level of DFT.

Calculated total energy in eV/atom: -8.269
Crystal system: orthorhombic
Formation energy from the elements in eV per atom: 0.000
Space group: Cmcm (63)

abc: 9.295 9.295 6.099
angles: 90.00 90.00 159.35
Atoms (fractional coordinates):
Ce 0.009 0.991 0.750
Ce 0.161 0.839 0.250
Ce 0.839 0.161 0.750
Ce 0.991 0.009 0.250
Nb 0.339 0.661 0.250
Nb 0.661 0.339 0.750
C 0.230 0.770 0.750
C 0.414 0.586 0.505
C 0.414 0.586 0.995
C 0.586 0.414 0.005
C 0.586 0.414 0.495
C 0.770 0.230 0.250

Computed, not measured: a relaxed Mg5CoN4 crystal at the PBE level of DFT.

Calculated total energy in eV/atom: -5.243
Crystal system: orthorhombic
Energy relative to the elements, uncorrected in eV per atom: -0.4050
Space group: Pmmn (59)

abc: 6.689 7.120 5.184
angles: 90.00 90.00 90.00
Atoms (fractional coordinates):
Mg 0.004 0.050 0.249
Mg 0.004 0.450 0.249
Mg 0.250 0.250 0.717
Mg 0.496 0.050 0.249
Mg 0.496 0.450 0.249
Mg 0.504 0.550 0.751
Mg 0.504 0.950 0.751
Mg 0.750 0.750 0.283
Mg 0.996 0.550 0.751
Mg 0.996 0.950 0.751
Co 0.250 0.750 0.275
Co 0.750 0.250 0.725
N 0.004 0.750 0.051
N 0.250 0.501 0.503
N 0.250 0.999 0.503
N 0.496 0.750 0.051
N 0.504 0.250 0.949
N 0.750 0.001 0.497
N 0.750 0.499 0.497
N 0.996 0.250 0.949

Computed, not measured: a relaxed MnBeNi2H crystal at the PBE level of DFT.

Calculated total energy in eV/atom: -5.598
Crystal system: tetragonal
Space group: P4/mmm (123)
Energy above the most stable polymorph in this dataset in kJ/mol of atoms: 6.76

abc: 3.593 3.593 3.545
angles: 90.00 90.00 90.00
Atoms (fractional coordinates):
Mn 0.000 0.000 0.000
Be 0.500 0.500 0.000
Ni 0.000 0.500 0.500
Ni 0.500 0.000 0.500
H 0.500 0.500 0.500

Computed, not measured: a relaxed MnNiCl2 crystal at the PBE level of DFT.

Calculated total energy in eV/atom: -4.650
Crystal system: trigonal
Energy relative to the elements, uncorrected in eV per atom: 0.0109
Space group: R-3m (166)
Energy above the most stable polymorph in this dataset in kJ/mol of atoms: 38.68

abc: 5.574 5.574 5.574
angles: 40.55 40.55 40.55
Atoms (fractional coordinates):
Mn 0.000 0.000 0.000
Ni 0.500 0.500 0.500
Cl 0.245 0.245 0.245
Cl 0.755 0.755 0.755